Entry 1:
# SrRh2W, optimized geometry, DFT PBE
data_SrRh2W
_chemical_formula_sum 'Sr4 Rh8 W4'
_cell_length_a 7.434
_cell_length_b 7.434
_cell_length_c 6.348
_cell_angle_alpha 90.00
_cell_angle_beta 90.00
_cell_angle_gamma 90.00
_space_group_name_H-M_alt 'I -4 2 d'
_space_group_IT_number 122
_space_group_name_Hall 'I -4 2bw'
loop_
_atom_site_label
_atom_site_fract_x
_atom_site_fract_y
_atom_site_fract_z
Sr1 0.000 0.000 0.000
Rh1 0.183 0.250 0.625
W1 0.000 0.000 0.500
# DFT formation energy (eV per atom): 0.42
# D(E_F) (states/eV/atom): 0.227
# Distance to the lowest polymorph of the same formula (eV/f.u.): 1.65

***

Entry 2:
# SrRh2W, optimized geometry, DFT PBE
data_SrRh2W
_chemical_formula_sum 'Sr1 Rh2 W1'
_cell_length_a 2.867
_cell_length_b 4.116
_cell_length_c 6.795
_cell_angle_alpha 90.00
_cell_angle_beta 90.00
_cell_angle_gamma 90.00
_space_group_name_H-M_alt 'P m m 2'
_space_group_IT_number 25
_space_group_name_Hall 'P 2 -2'
loop_
_atom_site_label
_atom_site_fract_x
_atom_site_fract_y
_atom_site_fract_z
Sr1 0.000 0.000 0.000
Rh1 0.000 0.000 0.500
Rh2 0.500 0.500 0.727
W1 0.500 0.500 0.373
# DFT formation energy (eV per atom): 0.34
# D(E_F) (states/eV/atom): 0.762
# Distance to the lowest polymorph of the same formula (eV/f.u.): 1.35

***

Entry 3:
# SrRh2W, optimized geometry, DFT PBE
data_SrRh2W
_chemical_formula_sum 'Sr4 Rh8 W4'
_cell_length_a 6.566
_cell_length_b 6.566
_cell_length_c 6.566
_cell_angle_alpha 90.00
_cell_angle_beta 90.00
_cell_angle_gamma 90.00
_space_group_name_H-M_alt 'F -4 3 m'
_space_group_IT_number 216
_space_group_name_Hall 'F -4 2 3'
loop_
_atom_site_label
_atom_site_fract_x
_atom_site_fract_y
_atom_site_fract_z
Sr1 0.000 0.000 0.000
Rh1 0.000 0.000 0.500
Rh2 0.250 0.250 0.750
W1 0.250 0.250 0.250
# DFT formation energy (eV per atom): 0.78
# D(E_F) (states/eV/atom): 1.718
# Distance to the lowest polymorph of the same formula (eV/f.u.): 3.08

***

Entry 4:
# Sr4RhW, optimized geometry, DFT PBE
data_Sr4RhW
_chemical_formula_sum 'Sr16 Rh4 W4'
_cell_length_a 9.247
_cell_length_b 9.247
_cell_length_c 9.247
_cell_angle_alpha 90.00
_cell_angle_beta 90.00
_cell_angle_gamma 90.00
_space_group_name_H-M_alt 'F -4 3 m'
_space_group_IT_number 216
_space_group_name_Hall 'F -4 2 3'
loop_
_atom_site_label
_atom_site_fract_x
_atom_site_fract_y
_atom_site_fract_z
Sr1 0.125 0.125 0.125
Rh1 0.000 0.000 0.500
W1 0.250 0.250 0.750
# DFT formation energy (eV per atom): 1.52
# D(E_F) (states/eV/atom): 1.339

***

Entry 5:
# SrRhW2, optimized geometry, DFT PBE
data_SrRhW2
_chemical_formula_sum 'Sr2 Rh2 W4'
_cell_length_a 3.899
_cell_length_b 3.899
_cell_length_c 10.086
_cell_angle_alpha 90.00
_cell_angle_beta 90.00
_cell_angle_gamma 90.00
_space_group_name_H-M_alt 'I 4/m m m'
_space_group_IT_number 139
_space_group_name_Hall '-I 4 2'
loop_
_atom_site_label
_atom_site_fract_x
_atom_site_fract_y
_atom_site_fract_z
Sr1 0.000 0.000 0.000
Rh1 0.000 0.000 0.500
W1 0.000 0.500 0.250
# DFT formation energy (eV per atom): 0.94
# D(E_F) (states/eV/atom): 1.023
# Distance to the lowest polymorph of the same formula (eV/f.u.): 1.60

***

Entry 6:
# Sr2RhW2, optimized geometry, DFT PBE
data_Sr2RhW2
_chemical_formula_sum 'Sr4 Rh2 W4'
_cell_length_a 4.029
_cell_length_b 4.029
_cell_length_c 14.911
_cell_angle_alpha 90.00
_cell_angle_beta 90.00
_cell_angle_gamma 90.00
_space_group_name_H-M_alt 'I 4/m m m'
_space_group_IT_number 139
_space_group_name_Hall '-I 4 2'
loop_
_atom_site_label
_atom_site_fract_x
_atom_site_fract_y
_atom_site_fract_z
Sr1 0.000 0.500 0.250
Rh1 0.000 0.000 0.000
W1 0.000 0.000 0.427
# DFT formation energy (eV per atom): 1.79
# D(E_F) (states/eV/atom): 1.589
# Distance to the lowest polymorph of the same formula (eV/f.u.): 5.51

***

Entry 7:
# SrRh2W, optimized geometry, DFT PBE
data_SrRh2W
_chemical_formula_sum 'Sr1 Rh2 W1'
_cell_length_a 3.395
_cell_length_b 3.395
_cell_length_c 7.139
_cell_angle_alpha 90.00
_cell_angle_beta 90.00
_cell_angle_gamma 90.00
_space_group_name_H-M_alt 'P 4 m m'
_space_group_IT_number 99
_space_group_name_Hall 'P 4 -2'
loop_
_atom_site_label
_atom_site_fract_x
_atom_site_fract_y
_atom_site_fract_z
Sr1 0.000 0.000 0.000
Rh1 0.000 0.000 0.495
Rh2 0.500 0.500 0.714
W1 0.500 0.500 0.368
# DFT formation energy (eV per atom): 0.38
# D(E_F) (states/eV/atom): 0.939
# Distance to the lowest polymorph of the same formula (eV/f.u.): 1.50

***

Entry 8:
# SrRh2W, optimized geometry, DFT PBE
data_SrRh2W
_chemical_formula_sum 'Sr2 Rh4 W2'
_cell_length_a 3.892
_cell_length_b 5.302
_cell_length_c 7.781
_cell_angle_alpha 90.00
_cell_angle_beta 90.00
_cell_angle_gamma 90.00
_space_group_name_H-M_alt 'I m m m'
_space_group_IT_number 71
_space_group_name_Hall '-I 2 2'
loop_
_atom_site_label
_atom_site_fract_x
_atom_site_fract_y
_atom_site_fract_z
Sr1 0.000 0.000 0.000
Rh1 0.000 0.500 0.205
W1 0.000 0.000 0.500
# DFT formation energy (eV per atom): 0.44
# D(E_F) (states/eV/atom): 0.962
# Distance to the lowest polymorph of the same formula (eV/f.u.): 1.72

***

Entry 9:
# SrRhW2, optimized geometry, DFT PBE
data_SrRhW2
_chemical_formula_sum 'Sr2 Rh2 W4'
_cell_length_a 9.480
_cell_length_b 3.075
_cell_length_c 6.112
_cell_angle_alpha 90.00
_cell_angle_beta 103.95
_cell_angle_gamma 90.00
_space_group_name_H-M_alt 'C 1 m 1'
_space_group_IT_number 8
_space_group_name_Hall 'C -2y'
loop_
_atom_site_label
_atom_site_fract_x
_atom_site_fract_y
_atom_site_fract_z
Sr1 0.000 0.000 0.000
Rh1 0.268 0.500 0.312
W1 0.206 0.000 0.630
W2 0.491 0.000 0.492
# DFT formation energy (eV per atom): 0.62
# D(E_F) (states/eV/atom): 0.959
# Distance to the lowest polymorph of the same formula (eV/f.u.): 0.30

***

Entry 10:
# SrRhW2, optimized geometry, DFT PBE
data_SrRhW2
_chemical_formula_sum 'Sr3 Rh3 W6'
_cell_length_a 2.8797
_cell_length_b 2.8797
_cell_length_c 30.9831
_cell_angle_alpha 90.00
_cell_angle_beta 90.00
_cell_angle_gamma 120.00
_space_group_name_H-M_alt 'R -3 m'
_space_group_IT_number 166
_space_group_name_Hall '-R 3 2"'
loop_
_atom_site_label
_atom_site_fract_x
_atom_site_fract_y
_atom_site_fract_z
Sr1 0.0000 0.0000 0.0000
Rh1 0.0000 0.0000 0.5000
W1 0.0000 0.0000 0.2375
# DFT formation energy (eV per atom): 0.86
# D(E_F) (states/eV/atom): 1.209
# Distance to the lowest polymorph of the same formula (eV/f.u.): 1.24

***

Entry 11:
# SrRhW2, optimized geometry, DFT PBE
data_SrRhW2
_chemical_formula_sum 'Sr4 Rh4 W8'
_cell_length_a 6.638
_cell_length_b 6.638
_cell_length_c 6.638
_cell_angle_alpha 90.00
_cell_angle_beta 90.00
_cell_angle_gamma 90.00
_space_group_name_H-M_alt 'F -4 3 m'
_space_group_IT_number 216
_space_group_name_Hall 'F -4 2 3'
loop_
_atom_site_label
_atom_site_fract_x
_atom_site_fract_y
_atom_site_fract_z
Sr1 0.000 0.000 0.000
Rh1 0.250 0.250 0.750
W1 0.000 0.000 0.500
W2 0.250 0.250 0.250
# DFT formation energy (eV per atom): 0.84
# D(E_F) (states/eV/atom): 0.689
# Distance to the lowest polymorph of the same formula (eV/f.u.): 1.20

***

Entry 12:
# SrRhW2, optimized geometry, DFT PBE
data_SrRhW2
_chemical_formula_sum 'Sr2 Rh2 W4'
_cell_length_a 3.833
_cell_length_b 4.105
_cell_length_c 9.531
_cell_angle_alpha 90.00
_cell_angle_beta 90.00
_cell_angle_gamma 90.00
_space_group_name_H-M_alt 'C m m m'
_space_group_IT_number 65
_space_group_name_Hall '-C 2 2'
loop_
_atom_site_label
_atom_site_fract_x
_atom_site_fract_y
_atom_site_fract_z
Sr1 0.000 0.000 0.000
Rh1 0.000 0.000 0.500
W1 0.000 0.500 0.296
# DFT formation energy (eV per atom): 0.74
# D(E_F) (states/eV/atom): 1.255
# Distance to the lowest polymorph of the same formula (eV/f.u.): 0.78

***

- Which formula does entry 2 have?
  SrRh2W